(1)
VCuTeI2 | PBE | relaxed

Geometry as extended XYZ:
```
5
Lattice="5.3200 0.0000 0.0000 0.0000 5.3200 0.0000 0.0000 0.0000 5.2754" Properties=species:S:1:pos:R:3 pbc="T T T"
Te 0.0000 0.0000 2.6377
I 0.0000 2.6600 0.0000
I 2.6600 0.0000 0.0000
Cu 0.0000 0.0000 0.0000
V 2.6600 2.6600 2.6377
```

Values from the calculation:
The polymorph energy (0 for the lowest one) is 199 meV per atom. Its symmetry is No. 123. As for the energy relative to the elements, uncorrected: 3.23 eV per formula unit. The calculation puts the calculated volume at 149 Å³ per cell. The density of states at the Fermi level is 1.541 states/eV per atom.

---

(2)
VCuTe2I | PBE | relaxed

Geometry as extended XYZ:
```
5
Lattice="5.1131 0.0000 0.0000 0.0000 5.1131 0.0000 0.0000 0.0000 5.8768" Properties=species:S:1:pos:R:3 pbc="T T T"
Cu 2.5566 2.5566 2.9384
I 0.0000 0.0000 2.9384
Te 2.5566 0.0000 0.0000
Te 0.0000 2.5566 0.0000
V 0.0000 0.0000 0.0000
```

Values from the calculation:
The polymorph energy (0 for the lowest one) is 0 meV per atom. Its symmetry is No. 123. As for the energy relative to the elements, uncorrected: 2.45 eV per formula unit. The calculation puts the calculated volume at 154 Å³ per cell. The density of states at the Fermi level is 0.467 states/eV per atom.

---

(3)
CuTe2WI | PBE | relaxed

Geometry as extended XYZ:
```
5
Lattice="-4.4798 -1.8168 -1.9390 2.6298 -2.4873 -3.7452 0.4271 -4.7156 3.4317" Properties=species:S:1:pos:R:3 pbc="T T T"
I 0.2135 -2.3578 1.7158
Te -2.2399 -0.9084 -0.9695
Te 1.3149 -1.2437 -1.8726
Cu -0.7114 -4.5099 -1.1263
W 0.0000 0.0000 0.0000
```

Values from the calculation:
The polymorph energy (0 for the lowest one) is 0 meV per atom. Its symmetry is No. 123. As for the energy relative to the elements, uncorrected: 4.53 eV per formula unit. The calculation puts the calculated volume at 159 Å³ per cell. The density of states at the Fermi level is 0.862 states/eV per atom.

---

(4)
CuTe2WI | PBE | relaxed

Geometry as extended XYZ:
```
5
Lattice="5.1570 0.0000 0.0000 0.0000 5.1570 0.0000 0.0000 0.0000 5.1101" Properties=species:S:1:pos:R:3 pbc="T T T"
Cu 0.0000 0.0000 0.0000
Te 2.5785 0.0000 0.0000
Te 0.0000 2.5785 0.0000
W 2.5785 2.5785 2.5551
I 0.0000 0.0000 2.5551
```

Values from the calculation:
The polymorph energy (0 for the lowest one) is 420 meV per atom. Its symmetry is No. 123. As for the energy relative to the elements, uncorrected: 6.63 eV per formula unit. The calculation puts the calculated volume at 136 Å³ per cell. The density of states at the Fermi level is 0.805 states/eV per atom.

---

(5)
ThCu2I8 | PBE | relaxed

Geometry as extended XYZ:
```
11
Lattice="6.8948 -1.0801 -0.7544 -0.4214 8.6100 -1.9539 -0.4214 1.1285 8.7565" Properties=species:S:1:pos:R:3 pbc="T T T"
I 3.8574 6.8185 4.7629
I 0.8237 5.4214 3.7870
I 1.0714 1.1251 6.0703
I 4.9807 2.5718 7.0808
I 2.1947 1.8400 1.2853
I 1.0714 6.0867 -1.0326
I 4.9807 7.5334 -0.0221
I 5.2284 3.2371 2.2612
Cu 4.6490 1.0776 0.7527
Cu 1.4030 7.5809 5.2955
Th 0.0000 0.0000 0.0000
```

Values from the calculation:
The polymorph energy (0 for the lowest one) is 0 meV per atom. Its symmetry is No. 12. As for the energy relative to the elements, uncorrected: -6.77 eV per formula unit. The calculation puts the calculated volume at 528 Å³ per cell.

---

(6)
ThCu2I6 | PBE | relaxed

Geometry as extended XYZ:
```
18
Lattice="-3.9678 6.8535 0.5960 -7.2280 3.2421 9.5598 3.9492 10.0052 6.2005" Properties=species:S:1:pos:R:3 pbc="T T T"
I -4.8759 6.9795 2.8660
I -2.4261 5.1072 6.3165
I 0.8852 7.6290 5.4437
I -8.1318 12.4718 10.9126
I -0.8128 4.8108 1.9431
I -4.8205 14.9936 10.0397
I -6.4064 7.8441 7.3369
I -6.4338 15.2900 14.4132
I -2.3707 13.1213 13.4903
I -0.8402 12.2566 9.0193
I -4.5315 10.5412 10.2512
I -2.7151 9.5596 6.1051
Cu -4.8029 9.8337 7.6663
Cu -1.2303 7.3682 6.8909
Cu -6.0163 12.7326 9.4654
Cu -2.4437 10.2671 8.6899
Th -7.6640 9.9191 9.2434
Th 0.4174 10.1817 7.1128
```

Values from the calculation:
Its symmetry is No. 15. As for the energy relative to the elements, uncorrected: -6.53 eV per formula unit. The calculation puts the calculated volume at 815 Å³ per cell. The density of states at the Fermi level is 0.000 states/eV per atom.

---

(7)
ThCuI2 | PBE | relaxed

Geometry as extended XYZ:
```
4
Lattice="3.9189 0.0000 0.0000 1.9595 3.3939 0.0000 1.9595 1.1313 9.5023" Properties=species:S:1:pos:R:3 pbc="T T T"
I 1.9595 1.1313 6.3995
I 5.8784 3.3939 3.1028
Cu 3.9189 2.2626 4.7511
Th 0.0000 0.0000 0.0000
```

Values from the calculation:
Its symmetry is No. 166. As for the energy relative to the elements, uncorrected: -0.12 eV per formula unit. The calculation puts the calculated volume at 126 Å³ per cell. The density of states at the Fermi level is 1.045 states/eV per atom.

---

(8)
ThCu2I8 | PBE | relaxed

Geometry as extended XYZ:
```
22
Lattice="-4.1215 -1.7953 6.7546 -4.3537 -11.2329 -0.7688 5.9981 -5.6326 7.0361" Properties=species:S:1:pos:R:3 pbc="T T T"
Th 2.8405 -7.2808 6.0185
Th -5.3176 -11.3800 7.0034
I -2.4263 -11.8984 5.5336
I -4.4361 -4.7684 6.0279
I -0.3643 -10.3348 9.7404
I 1.1173 -9.8283 5.5128
I -3.5944 -8.8325 7.5091
I -3.0343 -12.0434 1.7311
I 0.9208 -5.5538 4.2145
I -3.3978 -13.1070 8.8074
I -0.8241 -16.4168 7.4503
I 3.1132 -8.9399 8.8401
I 1.9590 -13.8924 6.9941
I -0.0508 -6.7623 7.4883
I 0.5573 -6.6174 11.2908
I -2.1128 -8.3260 3.2815
I -5.5902 -9.7209 4.1818
I -1.6529 -2.2440 5.5716
Cu -0.8751 -1.6310 1.4203
Cu -1.6020 -17.0298 11.6016
Cu -2.1550 -10.9793 7.9990
Cu -0.3221 -7.6815 5.0229
```

Values from the calculation:
The polymorph energy (0 for the lowest one) is 76 meV per atom. Its symmetry is No. 15. As for the energy relative to the elements, uncorrected: -5.94 eV per formula unit. The calculation puts the calculated volume at 918 Å³ per cell. The density of states at the Fermi level is 0.918 states/eV per atom.

---

(9)
ThTlCu2I8 | PBE | relaxed

Geometry as extended XYZ:
```
12
Lattice="-4.8934 2.2476 5.2141 -7.0592 -0.5407 -2.4615 -0.4175 -9.4271 3.5425" Properties=species:S:1:pos:R:3 pbc="T T T"
Th 0.0000 0.0000 0.0000
I -8.9123 -3.1822 3.6708
I -5.6536 -5.8359 5.9847
I -3.3739 -8.8968 4.1841
I -3.4577 -4.5381 2.6243
I -8.9961 1.1766 2.1110
I -6.7107 -7.1967 2.2386
I -5.6594 -0.5235 4.0565
I -6.7164 -1.8844 0.3104
Cu -7.9264 -1.1349 2.6489
Cu -4.4436 -6.5853 3.6462
Tl -0.2088 -4.7136 1.7712
```

Values from the calculation:
Its symmetry is No. 12. As for the energy relative to the elements, uncorrected: -7.37 eV per formula unit. The calculation puts the calculated volume at 527 Å³ per cell. The density of states at the Fermi level is 0.929 states/eV per atom.

---

(10)
Ti2CuI | PBE | relaxed

Geometry as extended XYZ:
```
4
Lattice="2.9804 -2.9332 -1.9841 2.7252 -2.6614 2.6293 -0.7448 -4.5625 0.2276" Properties=species:S:1:pos:R:3 pbc="T T T"
I 2.4804 -5.0786 0.4364
Ti 1.2402 -2.5393 0.2182
Ti 3.7206 -7.6178 0.6546
Cu 0.0000 0.0000 0.0000
```

Values from the calculation:
The polymorph energy (0 for the lowest one) is 0 meV per atom. Its symmetry is No. 225. As for the energy relative to the elements, uncorrected: 1.26 eV per formula unit. The calculation puts the calculated volume at 70 Å³ per cell. The density of states at the Fermi level is 1.323 states/eV per atom.

---

(11)
TiCu2I6 | PBE | relaxed

Geometry as extended XYZ:
```
18
Lattice="0.0927 -6.9787 1.1546 7.6173 2.0436 5.7901 -4.4336 2.3167 8.4083" Properties=species:S:1:pos:R:3 pbc="T T T"
I 0.9602 1.8530 9.2739
I 2.3162 -4.4715 6.0791
I -1.7472 -4.2707 7.1785
I 4.3342 -0.9202 5.2698
I -0.4865 -3.7124 2.3394
I 3.1001 -1.6837 9.3964
I 5.0236 1.6522 8.1745
I 0.1763 -0.9347 5.9567
I 3.7629 1.0940 13.0136
I 1.2055 -0.2625 1.3844
I -1.0578 -1.6983 10.0832
I 2.0709 -2.3560 13.9687
Cu 0.8384 -0.6350 8.4672
Cu 0.5078 1.5486 6.7178
Cu 2.4380 -1.9834 6.8858
Cu 2.7686 -4.1671 8.6352
Ti -3.1359 -2.9452 9.0075
Ti 6.4123 0.3267 6.3456
```

Values from the calculation:
The polymorph energy (0 for the lowest one) is 0 meV per atom. Its symmetry is No. 15. As for the energy relative to the elements, uncorrected: -4.08 eV per formula unit. The calculation puts the calculated volume at 657 Å³ per cell. The density of states at the Fermi level is 0.224 states/eV per atom.

---

(12)
Ti3CuI | PBE | relaxed

Geometry as extended XYZ:
```
5
Lattice="4.9479 0.0000 0.0000 0.0000 4.9479 0.0000 0.0000 0.0000 4.9479" Properties=species:S:1:pos:R:3 pbc="T T T"
I 0.0000 0.0000 0.0000
Ti 0.0000 2.4739 0.0000
Ti 0.0000 0.0000 2.4739
Ti 2.4739 0.0000 0.0000
Cu 2.4739 2.4739 2.4739
```

Values from the calculation:
The polymorph energy (0 for the lowest one) is 638 meV per atom. Its symmetry is No. 221. As for the energy relative to the elements, uncorrected: 6.27 eV per formula unit. The calculation puts the calculated volume at 121 Å³ per cell. The density of states at the Fermi level is 1.737 states/eV per atom.

---

> Which of these has the highest energy relative to the elements, uncorrected?

number 4